No. 1
Tm5Hg2Pt | PBE | optimized geometry

Structure (POSCAR):
```
Tm5Hg2Pt
1.0
2.8029 -6.1520 0.0000
2.8029 6.1520 0.0000
0.0000 0.0000 12.4795
Tm Hg Pt
10 4 2
direct
0.0693 0.9307 0.6058 Tm
0.0693 0.9307 0.8942 Tm
0.3799 0.6201 0.5661 Tm
0.3799 0.6201 0.9339 Tm
0.3879 0.6121 0.2500 Tm
0.6121 0.3879 0.7500 Tm
0.6201 0.3799 0.0661 Tm
0.6201 0.3799 0.4339 Tm
0.9307 0.0693 0.1058 Tm
0.9307 0.0693 0.3942 Tm
0.1804 0.8196 0.1240 Hg
0.1804 0.8196 0.3760 Hg
0.8196 0.1804 0.6240 Hg
0.8196 0.1804 0.8760 Hg
0.2360 0.7640 0.7500 Pt
0.7640 0.2360 0.2500 Pt
```

Properties
ΔH_f (0 K) = -2.855 eV/f.u.



No. 2
BeV2HRh | PBE | optimized geometry

Structure (POSCAR):
```
BeV2HRh
1.0
4.6973 0.0000 0.0000
0.0000 4.6973 0.0000
0.0000 0.0000 4.1802
Be V H Rh
1 2 1 1
direct
0.0000 0.0000 0.0000 Be
0.0000 0.5000 0.5000 V
0.5000 0.0000 0.5000 V
0.5000 0.5000 0.0000 H
0.0000 0.0000 0.5000 Rh
```



No. 3
Na4PmEr3Te8 | PBE | optimized geometry

Structure (POSCAR):
```
Na4PmEr3Te8
1.0
4.4306 2.5580 7.5667
-4.4306 2.5580 7.5667
0.0000 -5.1160 7.5667
Na Pm Er Te
4 1 3 8
direct
0.0000 0.0000 0.0000 Na
0.0000 0.5000 0.5000 Na
0.5000 0.0000 0.5000 Na
0.5000 0.5000 0.0000 Na
0.5000 0.5000 0.5000 Pm
0.0000 0.0000 0.5000 Er
0.0000 0.5000 0.0000 Er
0.5000 0.0000 0.0000 Er
0.2375 0.7477 0.7477 Te
0.2430 0.2430 0.2430 Te
0.2523 0.2523 0.7625 Te
0.2523 0.7625 0.2523 Te
0.7477 0.2375 0.7477 Te
0.7477 0.7477 0.2375 Te
0.7570 0.7570 0.7570 Te
0.7625 0.2523 0.2523 Te
```

Properties
Raw formation energy = -1.308 eV per atom



No. 4
MgZn2Cd | PBE | optimized geometry

Structure (POSCAR):
```
MgZn2Cd
1.0
-2.0678 2.0678 9.6184
2.0678 -2.0678 9.6184
2.0678 2.0678 -9.6184
Mg Zn Cd
2 4 2
direct
0.0000 0.0000 0.0000 Mg
0.7500 0.2500 0.5000 Mg
0.1198 0.6250 0.9948 Zn
0.3750 0.3698 0.4948 Zn
0.6302 0.1250 0.0052 Zn
0.8750 0.8802 0.5052 Zn
0.2500 0.7500 0.5000 Cd
0.5000 0.5000 0.0000 Cd
```

Properties
ΔH_f (0 K) = 0.478 eV/f.u.



No. 5
Y4HoMg | PBE | optimized geometry

Structure (POSCAR):
```
Y4HoMg
1.0
3.5916 0.0000 0.0000
0.0000 3.5916 0.0000
0.0000 0.0000 14.2677
Y Ho Mg
4 1 1
direct
0.0000 0.0000 0.1509 Y
0.0000 0.0000 0.8491 Y
0.5000 0.5000 0.3260 Y
0.5000 0.5000 0.6740 Y
0.0000 0.0000 0.5000 Ho
0.5000 0.5000 0.0000 Mg
```

Properties
ΔH_f (0 K) = -0.098 eV/f.u.



| no. | E (eV per cell) | volume (A^3/atom) | calculated density (g cm⁻³) |
| --- | --- | --- | --- |
| 1 | -63.71 | 26.9 | 11.1 |
| 2 | -26.33 | 18.4 | 3.9 |
| 3 | -69.77 | 32.2 | 5.7 |
| 4 | -9.16 | 20.6 | 5.4 |
| 5 | -32.13 | 30.7 | 4.9 |